#A
## InRh2F (PBE-GGA)

Data for a geometry-optimized InRh2F structure.

Magnetic moment ... 0.89 μB/cell
Symmetry ... Fm-3m, No. 225

Lattice parameters (Å, degrees): 4.4332 4.4332 4.4332 60.00 60.00 60.00
With the nearest neighbours (Å) after each atom.
Element x y z (fractional)
In 0.0000 0.0000 0.0000  8 Rh 2.71
Rh 0.2500 0.2500 0.2500  4 In 2.71, 4 F 2.71
Rh 0.7500 0.7500 0.7500  4 F 2.71, 4 In 2.71
F 0.5000 0.5000 0.5000  8 Rh 2.71

#B
## InRh2F (PBE-GGA)

Data for a geometry-optimized InRh2F structure.

Magnetic moment ... 2.13 μB/cell
Symmetry ... I-42d, No. 122

Lattice parameters (Å, degrees): 10.2853 10.2853 10.2853 159.65 159.65 28.93
With the nearest neighbours (Å) after each atom.
Element x y z (fractional)
In 0.0000 0.0000 0.0000  4 F 2.57, 4 Rh 2.81
In 0.7500 0.2500 0.5000  4 F 2.57, 4 Rh 2.81
Rh 0.1311 0.6250 0.0061  4 Rh 2.54-2.60, 2 F 2.79, 2 In 2.81
Rh 0.3750 0.3811 0.5061  4 Rh 2.54-2.60, 2 F 2.79, 2 In 2.81
Rh 0.6189 0.1250 0.9939  4 Rh 2.54-2.60, 2 F 2.79, 2 In 2.81
Rh 0.8750 0.8689 0.4939  4 Rh 2.54-2.60, 2 F 2.79, 2 In 2.81
F 0.2500 0.7500 0.5000  4 In 2.57, 4 Rh 2.79
F 0.5000 0.5000 0.0000  4 In 2.57, 4 Rh 2.79

Most stable pick: #B. Distance to second place: 0.177 eV/atom.

#A
## In2RhF (PBE-GGA)

Data for a geometry-optimized In2RhF structure.

Magnetic moment ... 0.00 μB/cell
Symmetry ... Fm-3m, No. 225

Lattice parameters (Å, degrees): 4.6156 4.6156 4.6156 60.00 60.00 60.00
With the nearest neighbours (Å) after each atom.
Element x y z (fractional)
In 0.2500 0.2500 0.2500  4 F 2.83, 4 Rh 2.83
In 0.7500 0.7500 0.7500  4 F 2.83, 4 Rh 2.83
Rh 0.0000 0.0000 0.0000  8 In 2.83
F 0.5000 0.5000 0.5000  8 In 2.83

#B
## In2RhF (PBE-GGA)

Data for a geometry-optimized In2RhF structure.

Magnetic moment ... 0.00 μB/cell
Symmetry ... I-42d, No. 122

Lattice parameters (Å, degrees): 5.7950 5.7950 5.7950 109.58 109.58 109.26
With the nearest neighbours (Å) after each atom.
Element x y z (fractional)
In 0.0953 0.6250 0.9703  2 F 2.38, 2 Rh 2.64
In 0.3750 0.3453 0.4703  2 F 2.38, 2 Rh 2.64
In 0.6547 0.1250 0.0297  2 F 2.38, 2 Rh 2.64
In 0.8750 0.9047 0.5297  2 F 2.38, 2 Rh 2.64
Rh 0.2500 0.7500 0.5000  4 In 2.64
Rh 0.5000 0.5000 0.0000  4 In 2.64
F 0.0000 0.0000 0.0000  4 In 2.38
F 0.7500 0.2500 0.5000  4 In 2.38

Most stable pick: #B. Distance to second place: 0.069 eV/atom.

#A
## InRh3F (PBE-GGA)

Data for a geometry-optimized InRh3F structure.

Magnetic moment ... 3.18 μB/cell
Symmetry ... Pm-3m, No. 221

Lattice parameters (Å, degrees): 5.0034 5.0034 5.0034 90.00 90.00 90.00
With the nearest neighbours (Å) after each atom.
Element x y z (fractional)
In 0.0000 0.0000 0.0000  6 Rh 2.50
Rh 0.0000 0.0000 0.5000  2 In 2.50
Rh 0.0000 0.5000 0.0000  2 In 2.50
Rh 0.5000 0.0000 0.0000  2 In 2.50
F 0.5000 0.5000 0.5000  12 Rh 3.54

#B
## InRh3F (PBE-GGA)

Data for a geometry-optimized InRh3F structure.

Magnetic moment ... 2.02 μB/cell
Symmetry ... Pm-3m, No. 221

Lattice parameters (Å, degrees): 4.3105 4.3105 4.3105 90.00 90.00 90.00
With the nearest neighbours (Å) after each atom.
Element x y z (fractional)
In 0.0000 0.0000 0.0000  12 Rh 3.05
Rh 0.0000 0.5000 0.5000  2 F 2.16
Rh 0.5000 0.0000 0.5000  2 F 2.16
Rh 0.5000 0.5000 0.0000  2 F 2.16
F 0.5000 0.5000 0.5000  6 Rh 2.16

Most stable pick: #B. Distance to second place: 0.990 eV/atom.